A relaxed structure of Hf3ZrCr, computed with PBE-GGA.

Cell: 5.0150 5.0150 5.0150 Å, 90.00 90.00 90.00°
Atoms (fractional coordinates):
Hf 0.0000 0.0000 0.5000
Hf 0.0000 0.5000 0.0000
Hf 0.5000 0.0000 0.0000
Zr 0.0000 0.0000 0.0000
Cr 0.5000 0.5000 0.5000

Results
Final energy (eV per atom): -7.805
SG: Pm-3m, No. 221
M_tot (Bohr magnetons per cell): 0.00
Calculated formation energy (eV per atom): 1.802


A relaxed structure of CrHg, computed with PBE-GGA.

Cell: 3.2232 3.2232 13.1954 Å, 90.00 90.00 120.00°
Atoms (fractional coordinates):
Cr 0.0000 0.0000 0.0000
Cr 0.3333 0.6667 0.6667
Cr 0.6667 0.3333 0.3333
Hg 0.0000 0.0000 0.5000
Hg 0.3333 0.6667 0.1667
Hg 0.6667 0.3333 0.8333

Results
Final energy (eV per atom): -4.334
SG: R-3m, No. 166
M_tot (Bohr magnetons per cell): 11.79
Calculated formation energy (eV per atom): 0.629


A relaxed structure of Cr3Hg, computed with PBE-GGA.

Cell: 8.6244 8.6244 2.6109 Å, 90.00 90.00 120.00°
Atoms (fractional coordinates):
Cr 0.0000 0.5000 0.0000
Cr 0.1667 0.3333 0.3333
Cr 0.1667 0.8333 0.3333
Cr 0.3333 0.1667 0.6667
Cr 0.5000 0.0000 0.0000
Cr 0.5000 0.5000 0.0000
Cr 0.6667 0.8333 0.3333
Cr 0.8333 0.1667 0.6667
Cr 0.8333 0.6667 0.6667
Hg 0.0000 0.0000 0.0000
Hg 0.3333 0.6667 0.6667
Hg 0.6667 0.3333 0.3333

Results
Final energy (eV per atom): -6.553
SG: R-3m, No. 166
M_tot (Bohr magnetons per cell): 0.00
Calculated formation energy (eV per atom): 0.740


A relaxed structure of Cr3Hg, computed with PBE-GGA.

Cell: 3.0318 4.3860 8.5251 Å, 90.00 90.00 90.00°
Atoms (fractional coordinates):
Cr 0.0000 0.0000 0.0000
Cr 0.0000 0.5000 0.2130
Cr 0.0000 0.5000 0.7870
Cr 0.5000 0.0000 0.2130
Cr 0.5000 0.0000 0.7870
Cr 0.5000 0.5000 0.0000
Hg 0.0000 0.0000 0.5000
Hg 0.5000 0.5000 0.5000

Results
Final energy (eV per atom): -6.772
SG: Cmmm, No. 65
M_tot (Bohr magnetons per cell): 0.00
Calculated formation energy (eV per atom): 0.521


A relaxed structure of CrHg, computed with PBE-GGA.

Cell: 12.2526 3.1746 6.1859 Å, 90.00 104.78 90.00°
Atoms (fractional coordinates):
Cr 0.0000 0.0000 0.0000
Cr 0.0005 0.0000 0.4856
Cr 0.3225 0.0000 0.1554
Cr 0.5000 0.5000 0.0000
Cr 0.5005 0.5000 0.4856
Cr 0.8225 0.5000 0.1554
Hg 0.1580 0.5000 0.3215
Hg 0.1592 0.5000 0.8227
Hg 0.3514 0.0000 0.6666
Hg 0.6580 0.0000 0.3215
Hg 0.6592 0.0000 0.8227
Hg 0.8514 0.5000 0.6666

Results
Final energy (eV per atom): -4.332
SG: Cm, No. 8
M_tot (Bohr magnetons per cell): 23.62
Calculated formation energy (eV per atom): 0.630


A relaxed structure of CrHg, computed with PBE-GGA.

Cell: 5.9224 7.5435 3.0593 Å, 90.00 90.00 90.00°
Atoms (fractional coordinates):
Cr 0.1588 0.0000 0.0000
Cr 0.3412 0.5000 0.0000
Cr 0.6588 0.5000 0.0000
Cr 0.8412 0.0000 0.0000
Hg 0.0000 0.2999 0.5000
Hg 0.0000 0.7001 0.5000
Hg 0.5000 0.2001 0.5000
Hg 0.5000 0.7999 0.5000

Results
Final energy (eV per atom): -4.328
SG: Cmmm, No. 65
M_tot (Bohr magnetons per cell): 0.00
Calculated formation energy (eV per atom): 0.635


A relaxed structure of Cr3Hg, computed with PBE-GGA.

Cell: 3.1016 4.3021 8.3036 Å, 90.00 90.00 90.00°
Atoms (fractional coordinates):
Cr 0.0000 0.0000 0.0000
Cr 0.0000 0.5000 0.2751
Cr 0.0000 0.5000 0.7249
Cr 0.5000 0.0000 0.2249
Cr 0.5000 0.0000 0.7751
Cr 0.5000 0.5000 0.5000
Hg 0.0000 0.0000 0.5000
Hg 0.5000 0.5000 0.0000

Results
Final energy (eV per atom): -6.697
SG: Immm, No. 71
M_tot (Bohr magnetons per cell): 0.01
Calculated formation energy (eV per atom): 0.596


A relaxed structure of Cr5Hg3, computed with PBE-GGA.

Cell: 8.1072 8.1072 5.5028 Å, 90.00 90.00 120.00°
Atoms (fractional coordinates):
Cr 0.0000 0.2463 0.2500
Cr 0.0000 0.7537 0.7500
Cr 0.2463 0.0000 0.2500
Cr 0.2463 0.2463 0.7500
Cr 0.3333 0.6667 0.0000
Cr 0.3333 0.6667 0.5000
Cr 0.6667 0.3333 0.0000
Cr 0.6667 0.3333 0.5000
Cr 0.7537 0.0000 0.7500
Cr 0.7537 0.7537 0.2500
Hg 0.0000 0.3929 0.7500
Hg 0.0000 0.6071 0.2500
Hg 0.3929 0.0000 0.7500
Hg 0.3929 0.3929 0.2500
Hg 0.6071 0.0000 0.2500
Hg 0.6071 0.6071 0.7500

Results
Final energy (eV per atom): -5.288
SG: P6_3/mcm, No. 193
M_tot (Bohr magnetons per cell): 40.48
Calculated formation energy (eV per atom): 0.840


A relaxed structure of CrHg, computed with PBE-GGA.

Cell: 10.1745 3.2521 4.8186 Å, 90.00 104.16 90.00°
Atoms (fractional coordinates):
Cr 0.1214 0.0000 0.3233
Cr 0.3786 0.5000 0.6767
Cr 0.6214 0.5000 0.3233
Cr 0.8786 0.0000 0.6767
Hg 0.1210 0.5000 0.8190
Hg 0.3790 0.0000 0.1810
Hg 0.6210 0.0000 0.8190
Hg 0.8790 0.5000 0.1810

Results
Final energy (eV per atom): -4.389
SG: C2/m, No. 12
M_tot (Bohr magnetons per cell): 16.05
Calculated formation energy (eV per atom): 0.573


A relaxed structure of Cr2Hg, computed with PBE-GGA.

Cell: 2.9146 2.9146 6.3766 Å, 90.00 90.00 120.00°
Atoms (fractional coordinates):
Cr 0.3333 0.6667 0.1162
Cr 0.6667 0.3333 0.8838
Hg 0.0000 0.0000 0.5000

Results
Final energy (eV per atom): -6.004
SG: P-3m1, No. 164
M_tot (Bohr magnetons per cell): 0.00
Calculated formation energy (eV per atom): 0.512


A relaxed structure of Cr4Hg5, computed with PBE-GGA.

Cell: 6.6618 6.6618 6.6618 Å, 96.43 96.43 140.88°
Atoms (fractional coordinates):
Cr 0.0000 0.3339 0.3339
Cr 0.0000 0.6661 0.6661
Cr 0.3339 0.0000 0.3339
Cr 0.6661 0.0000 0.6661
Hg 0.0000 0.0000 0.0000
Hg 0.3277 0.3277 0.6554
Hg 0.3277 0.6723 0.0000
Hg 0.6723 0.3277 0.0000
Hg 0.6723 0.6723 0.3446

Results
Final energy (eV per atom): -3.851
SG: I4/mmm, No. 139
M_tot (Bohr magnetons per cell): 15.23
Calculated formation energy (eV per atom): 0.594


A relaxed structure of CrHg, computed with PBE-GGA.

Cell: 8.3203 8.3203 2.9215 Å, 90.00 90.00 90.00°
Atoms (fractional coordinates):
Cr 0.0779 0.0779 0.0000
Cr 0.4221 0.5779 0.5000
Cr 0.5779 0.4221 0.5000
Cr 0.9221 0.9221 0.0000
Hg 0.2249 0.7751 0.0000
Hg 0.2751 0.2751 0.5000
Hg 0.7249 0.7249 0.5000
Hg 0.7751 0.2249 0.0000

Results
Final energy (eV per atom): -4.023
SG: P4_2/mnm, No. 136
M_tot (Bohr magnetons per cell): 3.05
Calculated formation energy (eV per atom): 0.939